## a
Nd3HoSb3 | PBE | relaxed

## Properties
As for the density of states at the Fermi level: 28.52 states/eV per cell.

The structure in POSCAR format:
```
Nd3HoSb3
1.0
9.4304 0.0000 0.0000
0.0000 9.4304 0.0000
0.0000 0.0000 9.4304
Nd Ho Sb
12 4 12
direct
0.0672 0.4328 0.5672
0.1770 0.8230 0.3230
0.1793 0.1793 0.1793
0.3207 0.8207 0.6793
0.3230 0.1770 0.8230
0.4328 0.5672 0.0672
0.5672 0.0672 0.4328
0.6770 0.6770 0.6770
0.6793 0.3207 0.8207
0.8207 0.6793 0.3207
0.8230 0.3230 0.1770
0.9328 0.9328 0.9328
0.0724 0.5724 0.9276
0.4276 0.4276 0.4276
0.5724 0.9276 0.0724
0.9276 0.0724 0.5724
0.0020 0.2563 0.8716
0.1284 0.5020 0.2437
0.2437 0.1284 0.5020
0.2563 0.8716 0.0020
0.3716 0.4980 0.7437
0.4980 0.7437 0.3716
0.5020 0.2437 0.1284
0.6284 0.9980 0.7563
0.7437 0.3716 0.4980
0.7563 0.6284 0.9980
0.8716 0.0020 0.2563
0.9980 0.7563 0.6284
```

***

## b
Nd3HoSb3 | PBE | relaxed

## Properties
As for the density of states at the Fermi level: 9.55 states/eV per cell.

The structure in POSCAR format:
```
Nd3HoSb3
1.0
4.5877 2.6487 6.3096
-4.5877 2.6487 6.3096
0.0000 -5.2975 6.3096
Nd Ho Sb
6 2 6
direct
0.0926 0.3475 0.8214
0.1786 0.9074 0.6525
0.3475 0.8214 0.0926
0.6525 0.1786 0.9074
0.8214 0.0926 0.3475
0.9074 0.6525 0.1786
0.3327 0.3327 0.3327
0.6673 0.6673 0.6673
0.0729 0.6928 0.4690
0.3072 0.5310 0.9271
0.4690 0.0729 0.6928
0.5310 0.9271 0.3072
0.6928 0.4690 0.0729
0.9271 0.3072 0.5310
```

***

It is a that is the most stable of them.

***

## a
Nd2HoSb | PBE | relaxed

## Properties
As for the density of states at the Fermi level: 4.31 states/eV per cell.

The structure in POSCAR format:
```
Nd2HoSb
1.0
4.2480 0.0000 0.0000
0.0000 4.2480 0.0000
0.0000 0.0000 6.8164
Nd Ho Sb
2 1 1
direct
0.0000 0.0000 0.2323
0.0000 0.0000 0.7677
0.5000 0.5000 0.5000
0.5000 0.5000 0.0000
```

***

## b
Nd2HoSb | PBE | relaxed

## Properties
As for the density of states at the Fermi level: 2.17 states/eV per cell.

The structure in POSCAR format:
```
Nd2HoSb
1.0
0.0000 3.9016 3.9016
3.9016 0.0000 3.9016
3.9016 3.9016 0.0000
Nd Ho Sb
2 1 1
direct
0.2500 0.2500 0.2500
0.7500 0.7500 0.7500
0.0000 0.0000 0.0000
0.5000 0.5000 0.5000
```

***

It is a that is the most stable of them.

***

## a
NdHo3Sb3 | PBE | relaxed

## Properties
As for the density of states at the Fermi level: 27.49 states/eV per cell.

The structure in POSCAR format:
```
NdHo3Sb3
1.0
9.2477 0.0000 0.0000
0.0000 9.2477 0.0000
0.0000 0.0000 9.2477
Nd Ho Sb
4 12 12
direct
0.0695 0.4305 0.5695
0.4305 0.5695 0.0695
0.5695 0.0695 0.4305
0.9305 0.9305 0.9305
0.0769 0.5769 0.9231
0.1785 0.8215 0.3215
0.1804 0.1804 0.1804
0.3196 0.8196 0.6804
0.3215 0.1785 0.8215
0.4231 0.4231 0.4231
0.5769 0.9231 0.0769
0.6785 0.6785 0.6785
0.6804 0.3196 0.8196
0.8196 0.6804 0.3196
0.8215 0.3215 0.1785
0.9231 0.0769 0.5769
0.0019 0.2573 0.8791
0.1209 0.5019 0.2427
0.2427 0.1209 0.5019
0.2573 0.8791 0.0019
0.3791 0.4981 0.7427
0.4981 0.7427 0.3791
0.5019 0.2427 0.1209
0.6209 0.9981 0.7573
0.7427 0.3791 0.4981
0.7573 0.6209 0.9981
0.8791 0.0019 0.2573
0.9981 0.7573 0.6209
```

***

## b
NdHo3Sb3 | PBE | relaxed

## Properties
As for the density of states at the Fermi level: 8.62 states/eV per cell.

The structure in POSCAR format:
```
NdHo3Sb3
1.0
4.5387 2.6204 6.1272
-4.5387 2.6204 6.1272
0.0000 -5.2408 6.1272
Nd Ho Sb
2 6 6
direct
0.1657 0.1657 0.1657
0.8343 0.8343 0.8343
0.1508 0.6826 0.4133
0.3174 0.5867 0.8492
0.4133 0.1508 0.6826
0.5867 0.8492 0.3174
0.6826 0.4133 0.1508
0.8492 0.3174 0.5867
0.0359 0.4210 0.7947
0.2053 0.9641 0.5790
0.4210 0.7947 0.0359
0.5790 0.2053 0.9641
0.7947 0.0359 0.4210
0.9641 0.5790 0.2053
```

***

It is a that is the most stable of them.

***

## a
Nd3Ho2Sc | PBE | relaxed

## Properties
As for the density of states at the Fermi level: 18.78 states/eV per cell.

The structure in POSCAR format:
```
Nd3Ho2Sc
1.0
4.6887 -6.1696 0.0000
4.6887 6.1696 0.0000
0.0000 0.0000 6.8320
Nd Ho Sc
6 4 2
direct
0.1343 0.8657 0.5000
0.1871 0.4731 0.2510
0.4731 0.1871 0.7510
0.5269 0.8129 0.2510
0.8129 0.5269 0.7510
0.8657 0.1343 0.0000
0.2035 0.4524 0.7452
0.4524 0.2035 0.2452
0.5476 0.7965 0.7452
0.7965 0.5476 0.2452
0.1586 0.8414 0.9977
0.8414 0.1586 0.4977
```

***

## b
Nd3Ho2Sc | PBE | relaxed

## Properties
As for the density of states at the Fermi level: 17.82 states/eV per cell.

The structure in POSCAR format:
```
Nd3Ho2Sc
1.0
6.1642 0.0000 0.0000
2.0715 7.6765 0.0000
0.0426 3.3305 8.0811
Nd Ho Sc
6 4 2
direct
0.0404 0.1365 0.2853
0.2928 0.8733 0.0426
0.3729 0.1281 0.6260
0.6271 0.8719 0.3740
0.7072 0.1267 0.9574
0.9596 0.8635 0.7147
0.2071 0.6198 0.4610
0.4523 0.3835 0.2041
0.5477 0.6165 0.7959
0.7929 0.3802 0.5390
0.1227 0.3804 0.8755
0.8773 0.6196 0.1245
```

***

It is b that is the most stable of them.

***

## a
Nd2HoSc2 | PBE | relaxed

## Properties
As for the density of states at the Fermi level: 18.40 states/eV per cell.

The structure in POSCAR format:
```
Nd2HoSc2
1.0
-2.7541 3.4062 8.1315
2.7541 -3.4062 8.1315
2.7541 3.4062 -8.1315
Nd Ho Sc
4 2 4
direct
0.2529 0.0029 0.2500
0.3769 0.6269 0.7500
0.6231 0.3731 0.2500
0.7471 0.9971 0.7500
0.1245 0.3745 0.7500
0.8755 0.6255 0.2500
0.1877 0.1932 0.9945
0.3012 0.8068 0.4945
0.6988 0.1932 0.5055
0.8123 0.8068 0.0055
```

***

## b
Nd2HoSc2 | PBE | relaxed

## Properties
As for the density of states at the Fermi level: 14.34 states/eV per cell.

The structure in POSCAR format:
```
Nd2HoSc2
1.0
4.7337 -6.3815 0.0000
4.7337 6.3815 0.0000
-2.2320 0.0000 5.3395
Nd Ho Sc
4 2 4
direct
0.0987 0.2694 0.3739
0.2694 0.0987 0.8739
0.7306 0.9013 0.1261
0.9013 0.7306 0.6261
0.4318 0.5682 0.2500
0.5682 0.4318 0.7500
0.1696 0.8304 0.2500
0.3061 0.6939 0.7500
0.6939 0.3061 0.2500
0.8304 0.1696 0.7500
```

***

It is a that is the most stable of them.

***

## a
Nd4Ho4Sc | PBE | relaxed

## Properties
As for the density of states at the Fermi level: 12.99 states/eV per cell.

The structure in POSCAR format:
```
Nd4Ho4Sc
1.0
-5.3580 5.3580 2.5079
5.3580 -5.3580 2.5079
5.3580 5.3580 -2.5079
Nd Ho Sc
4 4 1
direct
0.1643 0.1643 0.3285
0.1643 0.8357 0.0000
0.8357 0.1643 0.0000
0.8357 0.8357 0.6715
0.1670 0.5000 0.6670
0.5000 0.1670 0.6670
0.5000 0.8330 0.3330
0.8330 0.5000 0.3330
0.5000 0.5000 0.0000
```

***

## b
Nd4Ho4Sc | PBE | relaxed

## Properties
As for the density of states at the Fermi level: 18.55 states/eV per cell.

The structure in POSCAR format:
```
Nd4Ho4Sc
1.0
-2.6506 2.6506 11.7248
2.6506 -2.6506 11.7248
2.6506 2.6506 -11.7248
Nd Ho Sc
4 4 1
direct
0.1200 0.6268 0.0000
0.3732 0.3732 0.4932
0.6268 0.1200 0.0000
0.8800 0.8800 0.5068
0.0000 0.5000 0.5000
0.2524 0.2524 0.0000
0.5000 0.0000 0.5000
0.7476 0.7476 0.0000
0.0000 0.0000 0.0000
```

***

It is a that is the most stable of them.